1.
! CeSc2Tl | Alexandria via LeMat-Bulk | GGA-PBE | optimized geometry; values from VASP
! - ΔH_f (0 K): -0.12 eV per atom
! - E above lowest polymorph: 5.5 meV per atom
! - D(E_F): 8.5 states/eV per cell
! - V: 100.0 Å³ per cell
&SYSTEM
  ibrav = 0, nat = 4, ntyp = 3
/
ATOMIC_SPECIES
Ce 140.12 Ce.upf
Sc 44.96 Sc.upf
Tl 204.38 Tl.upf
CELL_PARAMETERS angstrom
4.740 0.000 0.000
0.000 4.740 0.000
0.000 0.000 4.453
ATOMIC_POSITIONS crystal
Ce 0.000 0.000 0.000
Sc 0.000 0.500 0.500
Sc 0.500 0.000 0.500
Tl 0.500 0.500 0.000

2.
! Ba2Ga3Ag4Hg | Alexandria via LeMat-Bulk | GGA-PBE | optimized geometry; values from VASP
! - ΔH_f (0 K): -0.27 eV per atom
! - D(E_F): 7.5 states/eV per cell
! - V: 250.7 Å³ per cell
&SYSTEM
  ibrav = 0, nat = 10, ntyp = 4
/
ATOMIC_SPECIES
Ba 137.33 Ba.upf
Ga 69.72 Ga.upf
Ag 107.87 Ag.upf
Hg 200.59 Hg.upf
CELL_PARAMETERS angstrom
4.727 0.000 0.000
0.000 4.727 0.000
0.000 0.000 11.218
ATOMIC_POSITIONS crystal
Ba 0.000 0.500 0.246
Ba 0.500 0.000 0.754
Ga 0.000 0.500 0.884
Ga 0.500 0.000 0.116
Ga 0.500 0.500 0.500
Ag 0.000 0.000 0.000
Ag 0.000 0.500 0.645
Ag 0.500 0.000 0.355
Ag 0.500 0.500 0.000
Hg 0.000 0.000 0.500

3.
! Mg2AlSb | Alexandria via LeMat-Bulk | GGA-PBE | optimized geometry; values from VASP
! - E above lowest polymorph: 70.5 meV per atom
! - D(E_F): 1.8 states/eV per cell
! - V: 89.3 Å³ per cell
&SYSTEM
  ibrav = 0, nat = 4, ntyp = 3
/
ATOMIC_SPECIES
Mg 24.30 Mg.upf
Al 26.98 Al.upf
Sb 121.76 Sb.upf
CELL_PARAMETERS angstrom
3.868 0.000 0.000
0.000 3.868 0.000
0.000 0.000 5.967
ATOMIC_POSITIONS crystal
Mg 0.000 0.000 0.000
Mg 0.500 0.500 0.268
Al 0.500 0.500 0.764
Sb 0.000 0.000 0.514

4.
! ScCuSn2 | Alexandria via LeMat-Bulk | GGA-PBE | optimized geometry; values from VASP
! - ΔH_f (0 K): -0.04 eV per atom
! - D(E_F): 1.8 states/eV per cell
! - V: 387.5 Å³ per cell
&SYSTEM
  ibrav = 0, nat = 16, ntyp = 3
/
ATOMIC_SPECIES
Sc 44.96 Sc.upf
Cu 63.55 Cu.upf
Sn 118.71 Sn.upf
CELL_PARAMETERS angstrom
4.608 0.000 0.000
0.000 4.608 0.000
0.000 0.000 18.246
ATOMIC_POSITIONS crystal
Sc 0.000 0.000 0.000
Sc 0.000 0.500 0.250
Sc 0.500 0.000 0.750
Sc 0.500 0.500 0.500
Cu 0.000 0.000 0.500
Cu 0.000 0.500 0.750
Cu 0.500 0.000 0.250
Cu 0.500 0.500 0.000
Sn 0.208 0.250 0.625
Sn 0.250 0.708 0.875
Sn 0.250 0.792 0.375
Sn 0.292 0.250 0.125
Sn 0.708 0.750 0.125
Sn 0.750 0.208 0.375
Sn 0.750 0.292 0.875
Sn 0.792 0.750 0.625

5.
! Mg2Te2I | Alexandria via LeMat-Bulk | GGA-PBE | optimized geometry; values from VASP
! - E above lowest polymorph: 0.0 meV per atom
! - D(E_F): 4.2 states/eV per cell
! - V: 310.9 Å³ per cell
&SYSTEM
  ibrav = 0, nat = 10, ntyp = 3
/
ATOMIC_SPECIES
Mg 24.30 Mg.upf
Te 127.60 Te.upf
I 126.90 I.upf
CELL_PARAMETERS angstrom
5.341 0.000 0.000
0.000 5.341 0.000
0.000 0.000 10.899
ATOMIC_POSITIONS crystal
Mg 0.000 0.500 0.250
Mg 0.000 0.500 0.750
Mg 0.500 0.000 0.250
Mg 0.500 0.000 0.750
Te 0.000 0.000 0.150
Te 0.000 0.000 0.850
Te 0.500 0.500 0.350
Te 0.500 0.500 0.650
I 0.000 0.000 0.500
I 0.500 0.500 0.000

6.
! NaPr6In6 | Alexandria via LeMat-Bulk | GGA-PBE | optimized geometry; values from VASP
! - ΔH_f (0 K): -0.30 eV per atom
! - D(E_F): 14.3 states/eV per cell
! - V: 408.7 Å³ per cell
&SYSTEM
  ibrav = 0, nat = 13, ntyp = 3
/
ATOMIC_SPECIES
Na 22.99 Na.upf
Pr 140.91 Pr.upf
In 114.82 In.upf
CELL_PARAMETERS angstrom
6.522 0.000 0.000
-3.261 5.648 0.000
0.000 0.000 11.094
ATOMIC_POSITIONS crystal
Na 0.000 0.000 0.000
Pr 0.000 0.000 0.324
Pr 0.000 0.000 0.676
Pr 0.333 0.667 0.000
Pr 0.333 0.667 0.500
Pr 0.667 0.333 0.000
Pr 0.667 0.333 0.500
In 0.000 0.500 0.248
In 0.000 0.500 0.752
In 0.500 0.000 0.248
In 0.500 0.000 0.752
In 0.500 0.500 0.248
In 0.500 0.500 0.752

7.
! K4CdH5 | Alexandria via LeMat-Bulk | GGA-PBE | optimized geometry; values from VASP
! - D(E_F): 2.4 states/eV per cell
! - V: 200.6 Å³ per cell
&SYSTEM
  ibrav = 0, nat = 10, ntyp = 3
/
ATOMIC_SPECIES
K 39.10 K.upf
Cd 112.41 Cd.upf
H 1.01 H.upf
CELL_PARAMETERS angstrom
-4.251 4.251 2.775
4.251 -4.251 2.775
4.251 4.251 -2.775
ATOMIC_POSITIONS crystal
K 0.103 0.709 0.812
K 0.291 0.103 0.393
K 0.709 0.897 0.607
K 0.897 0.291 0.188
Cd 0.484 0.484 0.000
H 0.134 0.134 0.000
H 0.223 0.415 0.636
H 0.415 0.779 0.191
H 0.587 0.223 0.809
H 0.779 0.587 0.364

8.
! Zr4Al2Ni | Alexandria via LeMat-Bulk | GGA-PBE | optimized geometry; values from VASP
! - ΔH_f (0 K): 0.08 eV per atom
! - E above lowest polymorph: 335.6 meV per atom
! - D(E_F): 13.9 states/eV per cell
! - V: 284.4 Å³ per cell
&SYSTEM
  ibrav = 0, nat = 14, ntyp = 3
/
ATOMIC_SPECIES
Zr 91.22 Zr.upf
Al 26.98 Al.upf
Ni 58.69 Ni.upf
CELL_PARAMETERS angstrom
3.049 0.000 0.000
-1.524 2.640 0.000
0.000 0.000 35.322
ATOMIC_POSITIONS crystal
Zr 0.000 0.000 0.000
Zr 0.000 0.000 0.210
Zr 0.000 0.000 0.500
Zr 0.000 0.000 0.710
Zr 0.333 0.667 0.129
Zr 0.333 0.667 0.360
Zr 0.667 0.333 0.629
Zr 0.667 0.333 0.860
Al 0.333 0.667 0.279
Al 0.333 0.667 0.930
Al 0.667 0.333 0.430
Al 0.667 0.333 0.779
Ni 0.000 0.000 0.072
Ni 0.000 0.000 0.572

9.
! TaZn2In | Alexandria via LeMat-Bulk | GGA-PBE | optimized geometry; values from VASP
! - ΔH_f (0 K): 0.46 eV per atom
! - D(E_F): 2.4 states/eV per cell
! - V: 302.4 Å³ per cell
&SYSTEM
  ibrav = 0, nat = 16, ntyp = 3
/
ATOMIC_SPECIES
Ta 180.95 Ta.upf
Zn 65.41 Zn.upf
In 114.82 In.upf
CELL_PARAMETERS angstrom
7.289 0.000 0.000
0.000 7.289 0.000
0.000 0.000 5.692
ATOMIC_POSITIONS crystal
Ta 0.000 0.000 0.000
Ta 0.000 0.500 0.250
Ta 0.500 0.000 0.750
Ta 0.500 0.500 0.500
Zn 0.249 0.750 0.625
Zn 0.250 0.249 0.375
Zn 0.250 0.251 0.875
Zn 0.251 0.750 0.125
Zn 0.749 0.250 0.125
Zn 0.750 0.749 0.875
Zn 0.750 0.751 0.375
Zn 0.751 0.250 0.625
In 0.000 0.000 0.500
In 0.000 0.500 0.750
In 0.500 0.000 0.250
In 0.500 0.500 0.000

10.
! Tm3Zn7Ag | Alexandria via LeMat-Bulk | GGA-PBE | optimized geometry; values from VASP
! - ΔH_f (0 K): -0.19 eV per atom
! - D(E_F): 12.5 states/eV per cell
! - V: 439.3 Å³ per cell
&SYSTEM
  ibrav = 0, nat = 22, ntyp = 3
/
ATOMIC_SPECIES
Tm 168.93 Tm.upf
Zn 65.41 Zn.upf
Ag 107.87 Ag.upf
CELL_PARAMETERS angstrom
1.782 -9.850 0.000
1.782 9.850 0.000
0.000 0.000 12.512
ATOMIC_POSITIONS crystal
Tm 0.115 0.885 0.550
Tm 0.115 0.885 0.950
Tm 0.253 0.747 0.250
Tm 0.747 0.253 0.750
Tm 0.885 0.115 0.050
Tm 0.885 0.115 0.450
Zn 0.266 0.734 0.561
Zn 0.266 0.734 0.939
Zn 0.373 0.627 0.651
Zn 0.373 0.627 0.849
Zn 0.412 0.588 0.250
Zn 0.495 0.505 0.597
Zn 0.495 0.505 0.903
Zn 0.505 0.495 0.097
Zn 0.505 0.495 0.403
Zn 0.588 0.412 0.750
Zn 0.627 0.373 0.151
Zn 0.627 0.373 0.349
Zn 0.734 0.266 0.061
Zn 0.734 0.266 0.439
Ag 0.037 0.963 0.250
Ag 0.963 0.037 0.750

11.
! Ni2OsBr | Alexandria via LeMat-Bulk | GGA-PBE | optimized geometry; values from VASP
! - E above lowest polymorph: 357.4 meV per atom
! - D(E_F): 12.6 states/eV per cell
! - V: 127.6 Å³ per cell
&SYSTEM
  ibrav = 0, nat = 8, ntyp = 3
/
ATOMIC_SPECIES
Ni 58.69 Ni.upf
Os 190.23 Os.upf
Br 79.90 Br.upf
CELL_PARAMETERS angstrom
2.813 0.000 0.000
0.000 4.563 0.000
0.000 0.000 9.942
ATOMIC_POSITIONS crystal
Ni 0.000 0.000 0.000
Ni 0.000 0.500 0.194
Ni 0.500 0.000 0.194
Ni 0.500 0.500 0.000
Os 0.000 0.000 0.401
Os 0.500 0.500 0.401
Br 0.000 0.500 0.771
Br 0.500 0.000 0.771

12.
! Th2ZrOs | Alexandria via LeMat-Bulk | GGA-PBE | optimized geometry; values from VASP
! - ΔH_f (0 K): 0.46 eV per atom
! - D(E_F): 16.6 states/eV per cell
! - V: 366.3 Å³ per cell
&SYSTEM
  ibrav = 0, nat = 12, ntyp = 3
/
ATOMIC_SPECIES
Th 232.04 Th.upf
Zr 91.22 Zr.upf
Os 190.23 Os.upf
CELL_PARAMETERS angstrom
3.787 0.000 0.000
-1.894 3.280 0.000
0.000 0.000 29.494
ATOMIC_POSITIONS crystal
Th 0.000 0.000 0.107
Th 0.000 0.000 0.893
Th 0.333 0.667 0.559
Th 0.333 0.667 0.774
Th 0.667 0.333 0.226
Th 0.667 0.333 0.441
Zr 0.000 0.000 0.000
Zr 0.333 0.667 0.667
Zr 0.667 0.333 0.333
Os 0.000 0.000 0.500
Os 0.333 0.667 0.167
Os 0.667 0.333 0.833

Asked for E_tot across the records above, the calculation gives -5.361, -2.732, -2.764, -4.645, -2.765, -3.868, -2.257, -6.701, -3.821, -2.484, -5.274, -8.198 eV/atom in order.
Asked for theoretical density across the records above, the calculation gives 7.2, 7.4, 3.7, 5.9, 4.6, 6.3, 2.3, 5.6, 9.4, 8.1, 10.1, 10.1 g/cm³ in order.